No. 1
Material: BaCuHg2
Method: DFT, PBE
State: relaxed

Theoretical density   8.52 g cm⁻³
Energy relative to the elements   -0.133 eV/atom

a = 4.4403 Å, b = 4.3582 Å, c = 6.4445 Å
α = 70.17°, β = 90.00°, γ = 90.00°
Fractional positions:
Ba 0.0000 0.5388 0.5481
Cu 0.5000 0.9361 0.7542
Hg 0.0000 0.8144 0.9959
Hg 0.5000 0.2107 0.2018



No. 2
Material: BaCu2Hg
Method: DFT, PBE
State: relaxed

Theoretical density   8.38 g cm⁻³
Energy relative to the elements   0.070 eV/atom

a = 3.5482 Å, b = 3.5420 Å, c = 7.3355 Å
α = 90.00°, β = 90.00°, γ = 90.00°
Fractional positions:
Ba 0.5000 0.5000 0.7742
Cu 0.0000 0.0000 0.0809
Cu 0.5000 0.5000 0.2090
Hg 0.0000 0.0000 0.4360



No. 3
Material: BaCuHg
Method: DFT, PBE
State: relaxed

Theoretical density   7.51 g cm⁻³
Energy relative to the elements   -0.245 eV/atom

a = 4.7798 Å, b = 4.7798 Å, c = 4.4859 Å
α = 90.00°, β = 90.00°, γ = 120.00°
Fractional positions:
Hg 0.0000 0.0000 0.0000
Cu 0.6667 0.3333 0.0000
Ba 0.3333 0.6667 0.5000



No. 4
Material: BaCuHg
Method: DFT, PBE
State: relaxed

Theoretical density   8.01 g cm⁻³
Energy relative to the elements   -0.097 eV/atom

a = 6.2346 Å, b = 6.2346 Å, c = 6.2346 Å
α = 144.00°, β = 144.02°, γ = 51.82°
Fractional positions:
Ba 0.9982 0.9982 0.0000
Cu 0.3018 0.3018 0.0000
Hg 0.7000 0.7000 0.0000



No. 5
Material: BaCu2Hg
Method: DFT, PBE
State: relaxed

Theoretical density   7.63 g cm⁻³
Energy relative to the elements   -0.109 eV/atom

a = 4.4623 Å, b = 4.4623 Å, c = 6.4160 Å
α = 69.50°, β = 69.50°, γ = 60.06°
Fractional positions:
Ba 0.2589 0.2589 0.2230
Cu 0.0581 0.0581 0.8262
Cu 0.7292 0.7292 0.8120
Hg 0.4539 0.4539 0.6388



No. 6
Material: Ba2Cu2Hg
Method: DFT, PBE
State: relaxed

Energy above the most stable polymorph in this dataset   158 meV per atom
Theoretical density   5.78 g cm⁻³
Energy relative to the elements   0.028 eV/atom

a = 9.1604 Å, b = 9.1604 Å, c = 4.1223 Å
α = 90.00°, β = 90.00°, γ = 90.00°
Fractional positions:
Hg 0.0000 0.0000 0.0000
Hg 0.5000 0.5000 0.0000
Cu 0.0973 0.5973 0.5000
Cu 0.5973 0.9027 0.5000
Cu 0.9027 0.4027 0.5000
Cu 0.4027 0.0973 0.5000
Ba 0.3250 0.8250 0.0000
Ba 0.8250 0.6750 0.0000
Ba 0.6750 0.1750 0.0000
Ba 0.1750 0.3250 0.0000



Number 1: uncorrected energy -1.788 eV/atom. Number 2: uncorrected energy -2.534 eV/atom. Number 3: uncorrected energy -2.352 eV/atom. Number 4: uncorrected energy -2.203 eV/atom. Number 5: uncorrected energy -2.713 eV/atom. Number 6: uncorrected energy -2.439 eV/atom.